This record from Alexandria via LeMat-Bulk describes crystalline LiYClF2 at its relaxed geometry. The functional is PBE.

The total energy is -3.852 eV per atom. The uncorrected formation energy is -1.059 eV/atom.

The structure belongs to space group P4/mmm (No. 123); the cell edges are 5.4855, 5.4855 and 4.7457 Å and the angles 90.00°, 90.00° and 90.00°. The distinct sites, in fractional coordinates, are Li at (0.0000, 0.0000, 0.0000), Y at (0.5000, 0.5000, 0.0000), Cl at (0.5000, 0.5000, 0.5000) and F at (0.0000, 0.5000, 0.5000).